CaTa2Co after structural relaxation, computed with PBE.

Unit cell a=2.930 b=4.888 c=10.456 alpha=90.00 beta=90.00 gamma=90.00
Sites, in units of the cell vectors:
Ca 0.000 0.000 0.000
Ca 0.500 0.500 0.500
Ta 0.000 0.500 0.205
Ta 0.000 0.500 0.795
Ta 0.500 0.000 0.295
Ta 0.500 0.000 0.705
Co 0.000 0.000 0.500
Co 0.500 0.500 0.000

Results
* total moment: 0.00 μB per formula unit
* energy of formation: 298 meV per atom
* Fermi-level density of states: 6.85 states/eV per cell